Compound: Sc2AlHPt
Source: Alexandria
Functional: PBE-GGA
Structure: relaxed

abc: 4.260 4.260 4.073
angles: 90.00 90.00 90.00
Each line ends with the local moment (μB).
Fractional coordinates of all 5 atoms:
Sc 0.000 0.500 0.000  0.12
Sc 0.500 0.000 0.000  0.12
H 0.000 0.000 0.000  0.00
Pt 0.500 0.500 0.500  0.00
Al 0.000 0.000 0.500  0.00

total energy	-5.806	eV per atom

Compound: Ba2AsP
Source: Alexandria
Functional: PBE-GGA
Structure: relaxed

abc: 5.442 5.442 5.442
angles: 113.43 113.43 101.81
Fractional coordinates of all 4 atoms:
Ba 0.500 0.500 0.000
Ba 0.000 0.000 0.000
P 0.250 0.750 0.500
As 0.750 0.250 0.500

E_form	-0.731	eV per atom
excess energy over the best structure of this formula in the dataset	0.229	eV/atom

Compound: IrPd4Se8
Source: Alexandria
Functional: PBE-GGA
Structure: relaxed

abc: 7.410 7.410 7.410
angles: 60.77 60.77 60.77
Fractional coordinates of all 13 atoms:
Se 0.742 0.281 0.742
Pd 0.000 0.500 0.500
Pd 0.500 0.500 0.000
Se 0.742 0.742 0.281
Ir 0.500 0.500 0.500
Se 0.281 0.742 0.742
Pd 0.000 0.000 0.000
Se 0.719 0.258 0.258
Pd 0.500 0.000 0.500
Se 0.741 0.741 0.741
Se 0.259 0.259 0.259
Se 0.258 0.719 0.258
Se 0.258 0.258 0.719

ΔE_f (raw)	-17.7	kJ/mol of atoms

Compound: Rb4AcNp3S12
Source: Alexandria
Functional: PBE-GGA
Structure: relaxed

abc: 9.198 9.198 9.198
angles: 109.47 109.47 109.47
Each line ends with the local moment (μB).
Fractional coordinates of all 20 atoms:
Rb 0.500 0.500 0.500  0.00
Ac 0.000 0.000 0.000  -0.05
S 0.732 0.732 0.000  -0.12
S 0.750 0.500 0.250  -0.16
Rb 0.000 0.000 0.500  0.00
Np 0.000 0.500 0.500  2.16
S 0.268 0.000 0.268  -0.12
S 0.732 0.000 0.732  -0.12
S 0.000 0.268 0.268  -0.12
S 0.500 0.250 0.750  -0.16
Np 0.500 0.000 0.500  2.16
S 0.250 0.500 0.750  -0.16
Rb 0.000 0.500 0.000  0.00
S 0.750 0.250 0.500  -0.16
Rb 0.500 0.000 0.000  0.00
S 0.500 0.750 0.250  -0.16
Np 0.500 0.500 0.000  2.16
S 0.000 0.732 0.732  -0.12
S 0.268 0.268 0.000  -0.12
S 0.250 0.750 0.500  -0.16

ΔE_f (raw)	-118.8	kJ/mol of atoms

Compound: Sb2PtIBr
Source: Alexandria
Functional: PBE-GGA
Structure: relaxed

abc: 5.310 5.310 5.559
angles: 90.00 90.00 90.00
Fractional coordinates of all 5 atoms:
I 0.000 0.000 0.500
Br 0.500 0.500 0.500
Sb 0.000 0.500 0.000
Pt 0.000 0.000 0.000
Sb 0.500 0.000 0.000

excess energy over the best structure of this formula in the dataset	0.000	eV/atom
ΔE_f (raw)	23.3	kJ/mol of atoms

Compound: ErGaGe
Source: Alexandria
Functional: PBE-GGA
Structure: relaxed

abc: 3.871 4.236 7.982
angles: 105.39 90.00 90.00
Fractional coordinates of all 6 atoms:
Ge 0.250 0.438 0.877
Ge 0.750 0.562 0.123
Er 0.250 0.094 0.189
Ga 0.750 0.258 0.516
Er 0.750 0.906 0.811
Ga 0.250 0.742 0.484

E_form	-0.548	eV per atom

Compound: ZrMoPt
Source: Alexandria
Functional: PBE-GGA
Structure: relaxed

abc: 6.727 6.728 2.861
angles: 77.72 77.73 24.55
Fractional coordinates of all 3 atoms:
Mo 0.989 0.989 0.011
Zr 0.669 0.669 0.331
Pt 0.342 0.342 0.658

E_form	-0.342	eV per atom
excess energy over the best structure of this formula in the dataset	0.180	eV/atom

Compound: Pr4DyZn5
Source: Alexandria
Functional: PBE-GGA
Structure: relaxed

abc: 3.679 3.679 18.488
angles: 90.00 90.00 90.00
Fractional coordinates of all 10 atoms:
Zn 0.500 0.500 0.500
Zn 0.500 0.500 0.090
Pr 0.000 0.000 0.195
Dy 0.000 0.000 0.000
Zn 0.500 0.500 0.298
Pr 0.000 0.000 0.398
Pr 0.000 0.000 0.602
Zn 0.500 0.500 0.702
Pr 0.000 0.000 0.805
Zn 0.500 0.500 0.910

E_form	-0.304	eV per atom